First-principles (PBE) data for TcHgOs2 after structural relaxation, as listed in Alexandria.

Cell lengths 2.7502, 4.5243, 10.9538 Å; angles 90.00, 90.00, 90.00 degrees
Space group Imm2 (No. 44)
One atom of each set of equivalent atoms:
1 Tc 0.0000 0.0000 0.0000 (multiplicity 2)
2 Hg 0.0000 0.5000 0.8326 (multiplicity 2)
3 Os 0.0000 0.0000 0.5764 (multiplicity 2)
4 Os 0.0000 0.5000 0.2702 (multiplicity 2)

Size of the total moment in μB per formula unit: 0.000
D(E_F) in states/eV/cell: 8.53
DFT total energy in eV/cell: -60.2
Crystal system: orthorhombic
Mass density in g/cm³: 16.546

First-principles (PBE) data for PtS2N after structural relaxation, as listed in Alexandria.

Cell lengths 4.4901, 7.0177, 7.1914 Å; angles 117.47, 90.16, 108.63 degrees
Space group P-1 (No. 2)
One atom of each set of equivalent atoms:
1 Pt 0.1320 0.2650 0.3277 (multiplicity 2)
2 S 0.1481 0.2957 0.0106 (multiplicity 2)
3 S 0.3370 0.6740 0.5391 (multiplicity 2)
4 N 0.0379 0.0736 0.8002 (multiplicity 2)

Size of the total moment in μB per formula unit: 0.000
D(E_F) in states/eV/cell: 4.12
Formation energy from raw total energies in eV per formula unit: 1.155
Crystal system: triclinic
Mass density in g/cm³: 4.840